Record 1
PBE MnTe2PdN, optimized geometry; total DFT energy (no corrections) = -0.1859 hartree per atom; E above lowest polymorph = 281 kJ/mol of formula units; DOS(E_F) = 0.766 states/eV per atom; SG = No. 123
1.0
5.551 0.000 0.000
0.000 5.551 0.000
0.000 0.000 3.704
Mn Te Pd N
1 2 1 1
direct
0.000 0.000 0.000
0.000 0.500 0.500
0.500 0.000 0.500
0.500 0.500 0.500
0.500 0.500 0.000

Record 2
PBE KCu2Tc, optimized geometry; formation enthalpy at 0 K = 0.804 eV/atom; total DFT energy (no corrections) = -0.1510 hartree per atom; E above lowest polymorph = 92 kJ/mol of formula units; DOS(E_F) = 0.795 states/eV per atom; SG = No. 44
1.0
-1.290 2.556 5.278
1.290 -2.556 5.278
1.290 2.556 -5.278
K Cu Tc
1 2 1
direct
0.000 0.000 0.000
0.514 0.514 0.000
0.723 0.223 0.500
0.294 0.794 0.500

Record 3
PBE LiHfCuHg2, optimized geometry; formation enthalpy at 0 K = 1.146 eV/atom; total DFT energy (no corrections) = -0.0797 hartree per atom; DOS(E_F) = 0.834 states/eV per atom; SG = No. 123
1.0
5.488 0.000 0.000
0.000 5.488 0.000
0.000 0.000 5.531
Li Hf Cu Hg
1 1 1 2
direct
0.000 0.000 0.000
0.000 0.000 0.500
0.500 0.500 0.000
0.000 0.500 0.500
0.500 0.000 0.500

Record 4
PBE Pm3Dy12Cd, optimized geometry; formation enthalpy at 0 K = -0.003 eV/atom; total DFT energy (no corrections) = -0.1618 hartree per atom; DOS(E_F) = 1.250 states/eV per atom; SG = No. 123
1.0
4.987 0.000 0.000
0.000 4.987 0.000
0.000 0.000 20.118
Pm Dy Cd
3 12 1
direct
0.000 0.000 0.000
0.000 0.000 0.253
0.000 0.000 0.747
0.000 0.500 0.127
0.000 0.500 0.380
0.000 0.500 0.620
0.000 0.500 0.873
0.500 0.000 0.127
0.500 0.000 0.380
0.500 0.000 0.620
0.500 0.000 0.873
0.500 0.500 0.000
0.500 0.500 0.257
0.500 0.500 0.500
0.500 0.500 0.743
0.000 0.000 0.500

Record 5
PBE HfZr2Ga, optimized geometry; formation enthalpy at 0 K = 0.132 eV/atom; total DFT energy (no corrections) = -0.2715 hartree per atom; E above lowest polymorph = 165 kJ/mol of formula units; DOS(E_F) = 1.205 states/eV per atom; SG = No. 122
1.0
-3.936 3.936 2.840
3.936 -3.936 2.840
3.936 3.936 -2.840
Hf Zr Ga
2 4 2
direct
0.000 0.000 0.000
0.750 0.250 0.500
0.150 0.625 0.025
0.375 0.400 0.525
0.600 0.125 0.975
0.875 0.850 0.475
0.250 0.750 0.500
0.500 0.500 0.000

Record 6
PBE K2Cd2Cu, optimized geometry; formation enthalpy at 0 K = 0.122 eV/atom; total DFT energy (no corrections) = -0.0552 hartree per atom; E above lowest polymorph = 0 kJ/mol of formula units; DOS(E_F) = 0.459 states/eV per atom; SG = No. 127
1.0
7.280 0.000 0.000
0.000 7.280 0.000
0.000 0.000 5.928
K Cd Cu
4 4 2
direct
0.179 0.321 0.000
0.321 0.821 0.000
0.679 0.179 0.000
0.821 0.679 0.000
0.151 0.651 0.500
0.349 0.151 0.500
0.651 0.849 0.500
0.849 0.349 0.500
0.000 0.000 0.500
0.500 0.500 0.500